Run w
4
Lattice="9.508 0.030 0.018 9.051 2.913 0.018 9.051 1.435 2.535" Properties=species:S:1:pos:R:3 comment="PBE ZrTcW2, relaxed" crystal_system=trigonal sg="R-3m, No. 166" pbc="T T T"
Zr 6.902 1.094 0.643
Tc 20.707 3.283 1.928
W 0.183 0.029 0.017
W 13.622 2.160 1.268


Run x
4
Lattice="3.199 0.000 0.000 0.000 3.199 0.000 0.000 0.000 6.682" Properties=species:S:1:pos:R:3 comment="PBE ZrTcW2, relaxed" crystal_system=tetragonal sg="P4/mmm, No. 123" pbc="T T T"
W 0.000 0.000 3.474
W 0.000 0.000 6.549
Zr 1.600 1.600 1.670
Tc 1.600 1.600 5.011


Which of the structures shown above is the most stable? The most stable is run x.